! Zr4Sc2Si3N3 (PBE, optimized geometry); values from VASP
! E_tot (eV/atom): -8.5208
! Total magnetization (μB per atom): 0.000
&SYSTEM
  ibrav = 0, nat = 24, ntyp = 4
/
ATOMIC_SPECIES
Zr 91.22 Zr.upf
Sc 44.96 Sc.upf
Si 28.09 Si.upf
N 14.01 N.upf
ATOMIC_POSITIONS angstrom
Zr 0.812 0.468 1.310
Zr 0.808 0.467 5.445
Zr -0.808 -0.468 8.065
Zr -0.812 -0.467 12.200
Zr 7.265 0.467 1.310
Zr 7.261 0.468 5.445
Zr 5.646 -0.467 8.065
Zr 5.642 -0.468 12.200
Sc 4.041 0.471 1.206
Sc 4.032 0.471 5.549
Sc 2.421 -0.471 7.961
Sc 2.413 -0.471 12.304
Si 4.036 2.219 3.377
Si 0.977 0.404 10.132
Si 2.597 -0.404 3.377
Si 3.857 0.404 10.133
Si 5.476 -0.404 3.378
Si 2.417 -2.219 10.132
N 2.423 1.400 0.000
N 2.421 1.398 6.755
N 5.651 1.398 0.000
N 0.804 -1.400 6.755
N 4.041 -1.398 0.000
N 4.032 -1.398 6.755
CELL_PARAMETERS angstrom
4.846 -2.801 0.000
4.846 2.801 0.000
-3.239 0.000 13.510

=====

! Tb2DyNi2B2As3 (PBE, optimized geometry); values from VASP
! E_tot (eV/atom): -6.0333
! Total magnetization (μB per atom): 0.000
&SYSTEM
  ibrav = 0, nat = 10, ntyp = 5
/
ATOMIC_SPECIES
Tb 158.93 Tb.upf
Dy 162.50 Dy.upf
Ni 58.69 Ni.upf
B 10.81 B.upf
As 74.92 As.upf
ATOMIC_POSITIONS angstrom
Tb 0.000 0.000 3.093
Tb 0.000 0.000 18.791
Dy 0.000 0.000 10.942
Ni 2.011 0.000 5.471
Ni 0.000 2.011 5.471
B 0.000 0.000 6.035
B 0.000 0.000 15.850
As 0.000 0.000 0.000
As 0.000 0.000 8.124
As 0.000 0.000 13.760
CELL_PARAMETERS angstrom
-2.011 2.011 10.942
2.011 -2.011 10.942
2.011 2.011 -10.942

=====

! PrNdBr3N (PBE, optimized geometry); values from VASP
! E_tot (eV/atom): -5.6048
! Energy above the lowest structure with this stoichiometry (eV/f.u.): 0.05
! Total magnetization (μB per atom): 0.000
&SYSTEM
  ibrav = 0, nat = 12, ntyp = 4
/
ATOMIC_SPECIES
Pr 140.91 Pr.upf
Nd 144.24 Nd.upf
Br 79.90 Br.upf
N 14.01 N.upf
ATOMIC_POSITIONS angstrom
Pr -1.451 0.000 4.480
Pr 13.176 0.000 5.336
Nd 5.213 0.000 2.092
Nd 6.513 0.000 7.724
Br 2.926 0.000 0.102
Br 2.609 0.000 3.719
Br 3.488 0.000 7.445
Br 8.238 0.000 2.371
Br 9.117 0.000 6.097
Br 8.799 0.000 9.714
N -2.799 0.000 6.420
N 14.524 0.000 3.396
CELL_PARAMETERS angstrom
9.038 -2.036 0.000
9.038 2.036 0.000
-6.350 0.000 9.816

=====

! NpTlCuS3 (PBE, optimized geometry); values from VASP
! E_tot (eV/atom): -6.1225
! Total magnetization (μB per atom): 0.495
&SYSTEM
  ibrav = 0, nat = 12, ntyp = 4
/
ATOMIC_SPECIES
Np 237.00 Np.upf
Tl 204.38 Tl.upf
Cu 63.55 Cu.upf
S 32.06 S.upf
ATOMIC_POSITIONS angstrom
Np 0.000 0.000 0.000
Np 0.000 0.000 5.094
Tl 1.978 3.438 7.641
Tl 1.978 -3.438 2.547
Cu 1.978 0.498 2.547
Cu 1.978 -0.498 7.641
S 1.978 6.211 2.547
S 1.978 1.722 0.608
S 1.978 1.722 4.486
S 1.978 -1.722 5.701
S 1.978 -1.722 9.580
S 1.978 -6.211 7.641
CELL_PARAMETERS angstrom
1.978 -7.047 0.000
1.978 7.047 0.000
0.000 0.000 10.188

=====

! Dy2P (PBE, optimized geometry); values from VASP
! E_tot (eV/atom): -5.6959
! Total magnetization (μB per atom): 0.002
&SYSTEM
  ibrav = 0, nat = 12, ntyp = 2
/
ATOMIC_SPECIES
Dy 162.50 Dy.upf
P 30.97 P.upf
ATOMIC_POSITIONS angstrom
Dy 1.658 1.658 1.658
Dy 1.658 1.658 4.974
Dy 1.658 4.974 1.658
Dy 1.658 4.974 4.974
Dy 4.974 1.658 1.658
Dy 4.974 1.658 4.974
Dy 4.974 4.974 1.658
Dy 4.974 4.974 4.974
P 0.000 0.000 0.000
P 0.000 3.316 3.316
P 3.316 0.000 3.316
P 3.316 3.316 0.000
CELL_PARAMETERS angstrom
6.632 0.000 0.000
0.000 6.632 0.000
0.000 0.000 6.632

=====

! AcDyTm (PBE, optimized geometry); values from VASP
! E_tot (eV/atom): -3.7128
! Formation energy (eV/atom): 0.6813
! Energy above the lowest structure with this stoichiometry (eV/f.u.): 0.00
! Total magnetization (μB per atom): 0.002
&SYSTEM
  ibrav = 0, nat = 12, ntyp = 3
/
ATOMIC_SPECIES
Ac 227.00 Ac.upf
Dy 162.50 Dy.upf
Tm 168.93 Tm.upf
ATOMIC_POSITIONS angstrom
Ac 0.000 0.000 0.000
Ac 0.000 3.964 3.964
Ac 3.964 0.000 3.964
Ac 3.964 3.964 0.000
Dy 0.000 0.000 3.964
Dy 0.000 3.964 0.000
Dy 3.964 0.000 0.000
Dy 3.964 3.964 3.964
Tm 1.982 1.982 1.982
Tm 1.982 5.946 5.946
Tm 5.946 1.982 5.946
Tm 5.946 5.946 1.982
CELL_PARAMETERS angstrom
7.928 0.000 0.000
0.000 7.928 0.000
0.000 0.000 7.928

=====

! ZrAlCu2 (PBE, optimized geometry); values from VASP
! E_tot (eV/atom): -5.1086
! Total magnetization (μB per atom): 0.000
&SYSTEM
  ibrav = 0, nat = 4, ntyp = 3
/
ATOMIC_SPECIES
Zr 91.22 Zr.upf
Al 26.98 Al.upf
Cu 63.55 Cu.upf
ATOMIC_POSITIONS angstrom
Zr 0.000 0.000 0.000
Al 2.075 2.075 0.000
Cu 0.000 2.075 1.813
Cu 2.075 0.000 1.813
CELL_PARAMETERS angstrom
4.149 0.000 0.000
0.000 4.149 0.000
0.000 0.000 3.626

=====

! TbErPO (PBE, optimized geometry); values from VASP
! E_tot (eV/atom): -6.9021
! Energy above the lowest structure with this stoichiometry (eV/f.u.): 0.06
! Total magnetization (μB per atom): 0.001
&SYSTEM
  ibrav = 0, nat = 8, ntyp = 4
/
ATOMIC_SPECIES
Tb 158.93 Tb.upf
Er 167.26 Er.upf
P 30.97 P.upf
O 16.00 O.upf
ATOMIC_POSITIONS angstrom
Tb 0.000 0.971 0.000
Tb 0.000 6.626 2.756
Er 2.065 2.232 2.543
Er 2.065 5.365 5.300
P 2.065 2.649 5.288
P 2.065 4.948 2.531
O 0.000 1.312 2.328
O 0.000 6.285 5.085
CELL_PARAMETERS angstrom
4.131 0.000 0.000
0.000 7.597 0.000
0.000 0.000 5.513

=====

! TbHoCu2Sn (PBE, optimized geometry); values from VASP
! E_tot (eV/atom): -4.6032
! Total magnetization (μB per atom): 0.002
&SYSTEM
  ibrav = 0, nat = 10, ntyp = 4
/
ATOMIC_SPECIES
Tb 158.93 Tb.upf
Ho 164.93 Ho.upf
Cu 63.55 Cu.upf
Sn 118.71 Sn.upf
ATOMIC_POSITIONS angstrom
Tb 0.000 0.000 0.000
Tb 0.000 2.145 6.856
Ho 0.000 0.000 10.113
Ho 0.000 2.145 3.258
Cu 1.803 0.000 2.305
Cu 1.803 0.000 7.835
Cu 1.803 2.145 0.980
Cu 1.803 2.145 9.161
Sn 1.803 0.000 5.051
Sn 1.803 2.145 11.907
CELL_PARAMETERS angstrom
3.605 0.000 0.000
0.000 4.290 0.000
0.000 0.000 13.711

=====

! Ho4TlCo2Ge4 (PBE, optimized geometry); values from VASP
! E_tot (eV/atom): -5.5300
! Total magnetization (μB per atom): 0.023
&SYSTEM
  ibrav = 0, nat = 11, ntyp = 4
/
ATOMIC_SPECIES
Ho 164.93 Ho.upf
Tl 204.38 Tl.upf
Co 58.93 Co.upf
Ge 72.64 Ge.upf
ATOMIC_POSITIONS angstrom
Ho 0.546 0.000 2.608
Ho 0.325 0.000 6.305
Ho 12.948 0.000 0.403
Ho 12.727 0.000 4.100
Tl 7.737 0.000 0.000
Co 3.510 0.000 2.508
Co 9.764 0.000 4.201
Ge 2.922 0.000 4.892
Ge 5.907 0.000 2.305
Ge 7.367 0.000 4.403
Ge 10.352 0.000 1.816
CELL_PARAMETERS angstrom
7.737 -2.101 0.000
7.737 2.101 0.000
-2.201 0.000 6.708

=====

! TbCuSbP (PBE, optimized geometry); values from VASP
! E_tot (eV/atom): -5.1907
! Energy above the lowest structure with this stoichiometry (eV/f.u.): 0.00
! Total magnetization (μB per atom): 0.000
&SYSTEM
  ibrav = 0, nat = 8, ntyp = 4
/
ATOMIC_SPECIES
Tb 158.93 Tb.upf
Cu 63.55 Cu.upf
Sb 121.76 Sb.upf
P 30.97 P.upf
ATOMIC_POSITIONS angstrom
Tb 1.014 1.014 2.312
Tb 3.041 3.041 7.441
Cu 1.014 3.041 0.000
Cu 3.041 1.014 0.000
Sb 1.014 3.041 4.877
Sb 3.041 1.014 4.877
P 1.014 1.014 8.342
P 3.041 3.041 1.412
CELL_PARAMETERS angstrom
4.055 0.000 0.000
0.000 4.055 0.000
0.000 0.000 9.754

=====

! TbOsPd (PBE, optimized geometry); values from VASP
! E_tot (eV/atom): -6.6574
! Formation energy (eV/atom): 0.3527
! Total magnetization (μB per atom): 0.484
&SYSTEM
  ibrav = 0, nat = 12, ntyp = 3
/
ATOMIC_SPECIES
Tb 158.93 Tb.upf
Os 190.23 Os.upf
Pd 106.42 Pd.upf
ATOMIC_POSITIONS angstrom
Tb 0.000 0.000 0.000
Tb 0.000 3.175 3.175
Tb 3.175 0.000 3.175
Tb 3.175 3.175 0.000
Os 0.000 0.000 3.175
Os 0.000 3.175 0.000
Os 3.175 0.000 0.000
Os 3.175 3.175 3.175
Pd 1.587 1.587 4.762
Pd 1.587 4.762 1.587
Pd 4.762 1.587 1.587
Pd 4.762 4.762 4.762
CELL_PARAMETERS angstrom
6.349 0.000 0.000
0.000 6.349 0.000
0.000 0.000 6.349

=====

Number 1: V 15.3 Å³ per atom. Number 2: V 17.7 Å³ per atom. Number 3: V 30.1 Å³ per atom. Number 4: V 23.7 Å³ per atom. Number 5: V 24.3 Å³ per atom. Number 6: V 41.5 Å³ per atom. Number 7: V 15.6 Å³ per atom. Number 8: V 21.6 Å³ per atom. Number 9: V 21.2 Å³ per atom. Number 10: V 19.8 Å³ per atom. Number 11: V 20.0 Å³ per atom. Number 12: V 21.3 Å³ per atom.